## KGeSe3 (PBE)

Data for a relaxed KGeSe3 crystal.

Properties
ΔE_f (raw): -22 kJ/mol of atoms
N(E_F): 4.4 states/eV per cell
Crystal system: cubic
Volume: 27.46 Å³/atom
Space group: No. 221
Spin magnetization: 0.00 μB per cell

The structure in POSCAR format:
```
KGeSe3
1.0
-1.096 1.961 4.644
4.086 -2.437 1.993
2.952 4.102 -1.036
Ge Se K
1 3 1
direct
0.000 0.000 0.000 Ge
0.500 0.000 0.000 Se
0.000 0.500 0.000 Se
0.000 0.000 0.500 Se
0.500 0.500 0.500 K
```